# 1
This record from the Alexandria database describes a geometry-optimized Re2AgHg structure. The functional is PBE.

Unit cell a=4.830 b=4.830 c=5.273 alpha=82.63 beta=82.63 gamma=33.78
Fractional coordinates of all 4 atoms:
Hg 0.253 0.253 0.268
Re 0.745 0.745 0.786
Re 0.004 0.004 0.958
Ag 0.498 0.498 0.489

## Properties
- Final energy: -25.2 eV for the cell shown
- Total magnetic moment: 0.0 μB/f.u.
- Energy relative to the elements: 0.71 eV/atom

---

# 2
This record from the Alexandria database describes a geometry-optimized NiBAsSe2 structure. The functional is PBE.

Unit cell a=4.867 b=4.867 c=4.361 alpha=90.00 beta=90.00 gamma=90.00
Fractional coordinates of all 5 atoms:
Ni 0.000 0.000 0.000
Se 0.000 0.500 0.000
Se 0.500 0.000 0.000
B 0.500 0.500 0.500
As 0.000 0.000 0.500

## Properties
- Final energy: -18.3 eV for the cell shown
- Total magnetic moment: 0.0 μB/f.u.
- ΔE_f (raw): 1160 meV per atom
- E above lowest polymorph: 245 meV/atom

---

# 3
This record from the Alexandria database describes a geometry-optimized Mg2IrOs structure. The functional is PBE.

Unit cell a=2.771 b=2.771 c=8.119 alpha=90.00 beta=90.00 gamma=90.00
Fractional coordinates of all 4 atoms:
Mg 0.000 0.000 0.508
Mg 0.000 0.000 0.992
Ir 0.500 0.500 0.750
Os 0.500 0.500 0.250

## Properties
- Final energy: -23.0 eV for the cell shown
- Total magnetic moment: 0.1 μB/f.u.
- Energy relative to the elements: 0.08 eV/atom
- E above lowest polymorph: 159 meV/atom

---

# 4
This record from the Alexandria database describes a geometry-optimized CsHSeO4 structure. The functional is PBE.

Unit cell a=8.648 b=8.052 c=8.141 alpha=69.88 beta=90.00 gamma=90.00
Fractional coordinates of all 28 atoms:
O 0.723 0.124 0.432
O 0.237 0.637 0.902
O 0.983 0.307 0.810
O 0.777 0.624 0.432
O 0.763 0.363 0.098
O 0.277 0.876 0.568
O 0.263 0.137 0.902
O 0.017 0.693 0.190
O 0.574 0.431 0.345
O 0.223 0.376 0.568
O 0.483 0.193 0.190
O 0.737 0.863 0.098
O 0.926 0.931 0.345
O 0.426 0.569 0.655
O 0.517 0.807 0.810
O 0.074 0.069 0.655
H 0.204 0.951 0.613
H 0.796 0.049 0.387
H 0.704 0.549 0.387
H 0.296 0.451 0.613
Se 0.869 0.785 0.252
Se 0.131 0.215 0.748
Se 0.631 0.285 0.252
Se 0.369 0.715 0.748
Cs 0.874 0.704 0.792
Cs 0.626 0.204 0.792
Cs 0.126 0.296 0.208
Cs 0.374 0.796 0.208

## Properties
- Final energy: -141.5 eV for the cell shown
- Total magnetic moment: 0.1 μB/f.u.

---

# 5
This record from the Alexandria database describes a geometry-optimized La2CeDy structure. The functional is PBE.

Unit cell a=5.809 b=5.809 c=5.809 alpha=60.00 beta=60.00 gamma=60.00
Fractional coordinates of all 4 atoms:
La 0.750 0.750 0.750
La 0.250 0.250 0.250
Dy 0.000 0.000 0.000
Ce 0.500 0.500 0.500

## Properties
- Final energy: -19.6 eV for the cell shown
- Total magnetic moment: 3.2 μB/f.u.
- Energy relative to the elements: 0.19 eV/atom
- E above lowest polymorph: 132 meV/atom

---

# 6
This record from the Alexandria database describes a geometry-optimized Zr2PaTiN4 structure. The functional is PBE.

Unit cell a=3.279 b=5.666 c=5.678 alpha=71.12 beta=90.00 gamma=90.00
Fractional coordinates of all 8 atoms:
Zr 0.000 0.000 0.000
Zr 0.500 0.000 0.500
N 0.500 0.248 0.767
N 0.500 0.752 0.233
N 0.000 0.261 0.236
N 0.000 0.739 0.764
Pa 0.000 0.500 0.500
Ti 0.500 0.500 0.000

## Properties
- Final energy: -80.6 eV for the cell shown
- Total magnetic moment: 0.0 μB/f.u.
- ΔE_f (raw): -1607 meV per atom